w.
# GGA-PBE ZrAsPdSe2, optimized geometry
data_ZrAsPdSe2
_space_group_name_H-M_alt 'P 1'
_space_group_IT_number 1
_space_group_name_Hall 'P 1'
_cell_length_a 5.1461
_cell_length_b 5.1461
_cell_length_c 5.2337
_cell_angle_alpha 90.00
_cell_angle_beta 90.00
_cell_angle_gamma 90.00
loop_
_atom_site_label
_atom_site_type_symbol
_atom_site_fract_x
_atom_site_fract_y
_atom_site_fract_z
Se1 Se 0.0000 0.5000 0.0000
Se2 Se 0.5000 0.0000 0.0000
Pd1 Pd 0.5000 0.5000 0.5000
As1 As 0.0000 0.0000 0.5000
Zr1 Zr 0.0000 0.0000 0.0000
# - Volume: 138.6 Å³ per cell
# - Space-group type: P4/mmm (123)

---

x.
# GGA-PBE ZrAsPdSe2, optimized geometry
data_ZrAsPdSe2
_space_group_name_H-M_alt 'P 1'
_space_group_IT_number 1
_space_group_name_Hall 'P 1'
_cell_length_a 4.8739
_cell_length_b 4.8739
_cell_length_c 4.8092
_cell_angle_alpha 90.00
_cell_angle_beta 90.00
_cell_angle_gamma 90.00
loop_
_atom_site_label
_atom_site_type_symbol
_atom_site_fract_x
_atom_site_fract_y
_atom_site_fract_z
As1 As 0.0000 0.0000 0.5000
Se1 Se 0.0000 0.5000 0.0000
Se2 Se 0.5000 0.0000 0.0000
Pd1 Pd 0.0000 0.0000 0.0000
Zr1 Zr 0.5000 0.5000 0.5000
# - Volume: 114.2 Å³ per cell
# - Space-group type: P4/mmm (123)

---

Top of the stability list: w, leading by 0.016 eV/atom.

---

w.
# GGA-PBE SiAsPd4, optimized geometry
data_SiAsPd4
_space_group_name_H-M_alt 'P 1'
_space_group_IT_number 1
_space_group_name_Hall 'P 1'
_cell_length_a 5.7102
_cell_length_b 5.7102
_cell_length_c 6.0844
_cell_angle_alpha 90.00
_cell_angle_beta 89.99
_cell_angle_gamma 90.00
loop_
_atom_site_label
_atom_site_type_symbol
_atom_site_fract_x
_atom_site_fract_y
_atom_site_fract_z
Pd1 Pd 0.7500 0.7500 0.2620
Pd2 Pd 0.2500 0.2500 0.7380
Pd3 Pd 0.7500 0.2500 0.2620
Pd4 Pd 0.2500 0.7500 0.2620
Pd5 Pd 0.2500 0.2500 0.2620
Pd6 Pd 0.2500 0.7500 0.7380
Pd7 Pd 0.7500 0.2500 0.7380
Pd8 Pd 0.7500 0.7500 0.7380
As1 As 0.5000 0.5000 0.0000
As2 As 0.0000 0.0000 0.0000
Si1 Si 0.5000 0.0000 0.5000
Si2 Si 0.0000 0.5000 0.5000
# - Volume: 198.4 Å³ per cell
# - Space-group type: P4/mmm (123)

---

x.
# GGA-PBE SiAsPd4, optimized geometry
data_SiAsPd4
_space_group_name_H-M_alt 'P 1'
_space_group_IT_number 1
_space_group_name_Hall 'P 1'
_cell_length_a 3.5333
_cell_length_b 6.5830
_cell_length_c 15.7396
_cell_angle_alpha 90.00
_cell_angle_beta 90.00
_cell_angle_gamma 90.00
loop_
_atom_site_label
_atom_site_type_symbol
_atom_site_fract_x
_atom_site_fract_y
_atom_site_fract_z
As1 As 0.2500 0.2407 0.1927
As2 As 0.7500 0.7593 0.8073
As3 As 0.2500 0.7407 0.3073
As4 As 0.7500 0.2593 0.6927
Pd1 Pd 0.2500 0.0079 0.0692
Pd2 Pd 0.7500 0.8632 0.4554
Pd3 Pd 0.2500 0.0698 0.7896
Pd4 Pd 0.7500 0.3924 0.8465
Pd5 Pd 0.2500 0.1368 0.5446
Pd6 Pd 0.7500 0.3632 0.0446
Pd7 Pd 0.2500 0.6368 0.9554
Pd8 Pd 0.2500 0.5698 0.7104
Pd9 Pd 0.7500 0.8924 0.6535
Pd10 Pd 0.2500 0.1076 0.3465
Pd11 Pd 0.7500 0.9921 0.9308
Pd12 Pd 0.2500 0.5079 0.4308
Pd13 Pd 0.7500 0.4921 0.5692
Pd14 Pd 0.7500 0.4302 0.2896
Pd15 Pd 0.2500 0.6076 0.1535
Pd16 Pd 0.7500 0.9302 0.2104
Si1 Si 0.2500 0.2541 0.9416
Si2 Si 0.7500 0.7459 0.0584
Si3 Si 0.2500 0.7541 0.5584
Si4 Si 0.7500 0.2459 0.4416
# - Volume: 366.1 Å³ per cell
# - Space-group type: Pnma (62)

---

Top of the stability list: x, leading by 0.091 eV/atom.

---

w.
# GGA-PBE SmAs2Pd6, optimized geometry
data_SmAs2Pd6
_space_group_name_H-M_alt 'P 1'
_space_group_IT_number 1
_space_group_name_Hall 'P 1'
_cell_length_a 4.2096
_cell_length_b 4.2096
_cell_length_c 8.8451
_cell_angle_alpha 90.00
_cell_angle_beta 90.00
_cell_angle_gamma 90.00
loop_
_atom_site_label
_atom_site_type_symbol
_atom_site_fract_x
_atom_site_fract_y
_atom_site_fract_z
As1 As 0.5000 0.5000 0.8586
As2 As 0.5000 0.5000 0.1414
Sm1 Sm 0.0000 0.0000 0.0000
Pd1 Pd 0.5000 0.0000 0.7136
Pd2 Pd 0.0000 0.5000 0.2864
Pd3 Pd 0.5000 0.0000 0.2864
Pd4 Pd 0.0000 0.0000 0.5000
Pd5 Pd 0.0000 0.5000 0.7136
Pd6 Pd 0.5000 0.5000 0.5000
# - Volume: 156.7 Å³ per cell
# - Space-group type: P4/mmm (123)

---

x.
# GGA-PBE SmAs2Pd6, optimized geometry
data_SmAs2Pd6
_space_group_name_H-M_alt 'P 1'
_space_group_IT_number 1
_space_group_name_Hall 'P 1'
_cell_length_a 5.6175
_cell_length_b 5.6175
_cell_length_c 6.5676
_cell_angle_alpha 90.00
_cell_angle_beta 90.00
_cell_angle_gamma 120.00
loop_
_atom_site_label
_atom_site_type_symbol
_atom_site_fract_x
_atom_site_fract_y
_atom_site_fract_z
Pd1 Pd 0.4997 0.4997 0.7896
Pd2 Pd 0.0000 0.5003 0.7896
Pd3 Pd 0.4997 0.0000 0.2104
Pd4 Pd 0.5003 0.5003 0.2104
Pd5 Pd 0.5003 0.0000 0.7896
Pd6 Pd 0.0000 0.4997 0.2104
Sm1 Sm 0.0000 0.0000 0.0000
As1 As 0.6667 0.3333 0.5000
As2 As 0.3333 0.6667 0.5000
# - Volume: 179.5 Å³ per cell
# - Space-group type: P6/mmm (191)

---

Top of the stability list: w, leading by 0.081 eV/atom.